Record 1
Rb2Sr2Sb: optimized geometry, GGA-PBE.

Cell lengths 8.8184, 8.8184, 7.4803 Å; angles 90.00, 90.00, 90.00 degrees
With the nearest neighbours (Å) after each atom.
Space group P4/mbm (No. 127)
Symmetry-distinct sites (fractional):
Rb 0.1761 0.3239 0.0000 x4  2 Sr 4.21, 5 Rb 4.39-4.60
Sr 0.1698 0.6698 0.5000 x4  2 Sb 3.27
Sb 0.0000 0.0000 0.5000 x2  4 Sr 3.27

Computed properties:
final energy = -2.123 eV/atom
formation energy without anion corrections = -0.24 eV/atom

---

Record 2
Rb2SrSb2: optimized geometry, GGA-PBE.

Cell lengths 8.5360, 8.5360, 5.9500 Å; angles 90.00, 90.00, 90.00 degrees
With the nearest neighbours (Å) after each atom.
Space group P4/mbm (No. 127)
Symmetry-distinct sites (fractional):
Rb 0.1612 0.3388 0.0000 x4  6 Sb 3.85-3.96, 1 Rb 3.89
Sr 0.0000 0.0000 0.5000 x2  4 Sb 3.39
Sb 0.1226 0.6226 0.5000 x4  1 Sb 2.96

Computed properties:
offset from the most stable computed form = 0.000 eV/atom
final energy = -2.870 eV/atom
formation energy without anion corrections = -0.50 eV/atom

---

Record 3
Rb3SrSb: optimized geometry, GGA-PBE.

Cell lengths 7.3537, 7.3537, 7.3537 Å; angles 90.00, 90.00, 90.00 degrees
With the nearest neighbours (Å) after each atom.
Space group Pm-3m (No. 221)
Symmetry-distinct sites (fractional):
Rb 0.0000 0.0000 0.5000 x3  2 Sr 3.68
Sr 0.0000 0.0000 0.0000 x1  6 Rb 3.68
Sb 0.5000 0.5000 0.5000 x1  12 Rb 5.20

Computed properties:
offset from the most stable computed form = 0.684 eV/atom
final energy = -1.056 eV/atom
formation energy without anion corrections = 0.69 eV/atom

---

Record 4
RbSr2TcSb: optimized geometry, GGA-PBE.

Cell lengths 6.2490, 6.2490, 5.9302 Å; angles 90.00, 90.00, 90.00 degrees
With the nearest neighbours (Å) after each atom.
Space group P4/mmm (No. 123)
Symmetry-distinct sites (fractional):
Rb 0.0000 0.0000 0.0000 x1  2 Sb 2.97, 4 Sr 3.12
Sr 0.0000 0.5000 0.0000 x2  2 Rb 3.12
Tc 0.5000 0.5000 0.5000 x1  8 Sr 4.31, 4 Sb 4.42
Sb 0.0000 0.0000 0.5000 x1  2 Rb 2.97

Computed properties:
final energy = -2.169 eV/atom
formation energy without anion corrections = 1.59 eV/atom

---

Record 5
RbSrSb2Te: optimized geometry, GGA-PBE.

Cell lengths 5.9536, 5.9536, 6.1877 Å; angles 90.00, 90.00, 90.00 degrees
With the nearest neighbours (Å) after each atom.
Space group P4/mmm (No. 123)
Symmetry-distinct sites (fractional):
Rb 0.0000 0.0000 0.0000 x1  4 Sb 2.98, 2 Te 3.09
Sr 0.5000 0.5000 0.5000 x1  4 Te 4.21, 8 Sb 4.29
Sb 0.0000 0.5000 0.0000 x2  2 Rb 2.98
Te 0.0000 0.0000 0.5000 x1  2 Rb 3.09

Computed properties:
offset from the most stable computed form = 0.493 eV/atom
final energy = -2.331 eV/atom
formation energy without anion corrections = 0.48 eV/atom

---

Record 6
RbSrSbTe2: optimized geometry, GGA-PBE.

Cell lengths 6.1949, 6.1949, 5.8749 Å; angles 90.00, 90.00, 90.00 degrees
With the nearest neighbours (Å) after each atom.
Space group P4/mmm (No. 123)
Symmetry-distinct sites (fractional):
Rb 0.0000 0.0000 0.0000 x1  2 Sb 2.94, 4 Te 3.10
Sr 0.5000 0.5000 0.5000 x1  8 Te 4.27, 4 Sb 4.38
Sb 0.0000 0.0000 0.5000 x1  2 Rb 2.94
Te 0.0000 0.5000 0.0000 x2  2 Rb 3.10

Computed properties:
offset from the most stable computed form = 0.526 eV/atom
final energy = -2.342 eV/atom
formation energy without anion corrections = 0.27 eV/atom

---

Record 7
RbSrSb2Te: optimized geometry, GGA-PBE.

Cell lengths 6.1734, 6.1734, 6.2222 Å; angles 90.00, 90.00, 90.00 degrees
With the nearest neighbours (Å) after each atom.
Space group P4/mmm (No. 123)
Symmetry-distinct sites (fractional):
Rb 0.0000 0.0000 0.0000 x1  4 Te 4.37, 8 Sb 4.38
Sr 0.5000 0.5000 0.5000 x1  4 Sb 3.09, 2 Te 3.11
Sb 0.0000 0.5000 0.5000 x2  2 Sr 3.09
Te 0.5000 0.5000 0.0000 x1  2 Sr 3.11

Computed properties:
offset from the most stable computed form = 0.000 eV/atom
final energy = -2.824 eV/atom
formation energy without anion corrections = -0.02 eV/atom

---

Record 8
RbSrSbTe2: optimized geometry, GGA-PBE.

Cell lengths 6.2589, 6.2589, 6.1620 Å; angles 90.00, 90.00, 90.00 degrees
With the nearest neighbours (Å) after each atom.
Space group P4/mmm (No. 123)
Symmetry-distinct sites (fractional):
Rb 0.0000 0.0000 0.0000 x1  8 Te 4.39, 4 Sb 4.43
Sr 0.5000 0.5000 0.5000 x1  2 Sb 3.08, 4 Te 3.13
Sb 0.5000 0.5000 0.0000 x1  2 Sr 3.08
Te 0.0000 0.5000 0.5000 x2  2 Sr 3.13

Computed properties:
offset from the most stable computed form = 0.000 eV/atom
final energy = -2.868 eV/atom
formation energy without anion corrections = -0.26 eV/atom

---

Record 9
RbSrSbTe2: optimized geometry, GGA-PBE.

Cell lengths 6.1486, 6.1486, 7.4721 Å; angles 90.00, 90.00, 90.00 degrees
With the nearest neighbours (Å) after each atom.
Space group P4/mmm (No. 123)
Symmetry-distinct sites (fractional):
Rb 0.0000 0.0000 0.0000 x1  2 Sr 3.74
Sr 0.0000 0.0000 0.5000 x1  4 Te 3.07
Sb 0.5000 0.5000 0.0000 x1  4 Rb 4.35, 8 Te 4.84
Te 0.0000 0.5000 0.5000 x2  2 Sr 3.07

Computed properties:
offset from the most stable computed form = 0.335 eV/atom
final energy = -2.533 eV/atom
formation energy without anion corrections = 0.08 eV/atom

---

Record 10
RbSr2SbTe: optimized geometry, GGA-PBE.

Cell lengths 6.2290, 6.2290, 6.5538 Å; angles 90.00, 90.00, 90.00 degrees
With the nearest neighbours (Å) after each atom.
Space group P4/mmm (No. 123)
Symmetry-distinct sites (fractional):
Rb 0.0000 0.0000 0.0000 x1  2 Sb 3.28
Sr 0.0000 0.5000 0.5000 x2  2 Sb 3.11
Sb 0.0000 0.0000 0.5000 x1  4 Sr 3.11, 2 Rb 3.28
Te 0.5000 0.5000 0.0000 x1  4 Rb 4.40, 8 Sr 4.52

Computed properties:
final energy = -2.981 eV/atom
formation energy without anion corrections = -0.66 eV/atom

---

Record 11
Rb2SrTlSb: optimized geometry, GGA-PBE.

Cell lengths 6.3966, 6.3966, 6.5446 Å; angles 90.00, 90.00, 90.00 degrees
With the nearest neighbours (Å) after each atom.
Space group P4/mmm (No. 123)
Symmetry-distinct sites (fractional):
Rb 0.0000 0.5000 0.0000 x2  2 Tl 3.20
Sr 0.0000 0.0000 0.5000 x1  2 Tl 3.27
Tl 0.0000 0.0000 0.0000 x1  4 Rb 3.20, 2 Sr 3.27
Sb 0.5000 0.5000 0.5000 x1  4 Sr 4.52, 8 Rb 4.58

Computed properties:
final energy = -1.803 eV/atom
formation energy without anion corrections = 0.22 eV/atom

---

Record 12
RbSrTl4Sb2: optimized geometry, GGA-PBE.

Cell lengths 4.6933, 4.6933, 13.7762 Å; angles 90.00, 90.00, 90.00 degrees
With the nearest neighbours (Å) after each atom.
Space group P4/mmm (No. 123)
Symmetry-distinct sites (fractional):
Rb 0.0000 0.0000 0.0000 x1  8 Tl 3.93
Sr 0.0000 0.0000 0.5000 x1  8 Sb 3.64
Tl 0.0000 0.5000 0.2284 x4  2 Sb 3.24, 4 Tl 3.32
Sb 0.5000 0.5000 0.3906 x2  1 Sb 3.01, 4 Tl 3.24

Computed properties:
final energy = -2.828 eV/atom
formation energy without anion corrections = -0.28 eV/atom